(1)
This record from Alexandria describes a relaxed Ga2NiCl2 crystal. The functional is PBE.

Computed properties:
**Offset from the most stable computed form**: 0 meV per atom
**Theoretical density**: 3.99 Mg/m³
**Formation energy (no corrections)**: -161 meV/atom

Lattice parameters (Å, degrees): 6.834 6.834 4.797 90.00 90.00 90.00
Each line ends with the local moment (μB).
Atoms (fractional coordinates):
Ni  0.000  0.000  0.000  0.43
Ni  0.500  0.500  0.000  0.40
Ga  0.258  0.758  0.000  -0.02
Ga  0.758  0.742  0.000  -0.03
Ga  0.742  0.242  0.000  -0.02
Ga  0.242  0.258  0.000  -0.03
Cl  0.171  0.671  0.500  0.01
Cl  0.671  0.829  0.500  0.00
Cl  0.829  0.329  0.500  0.01
Cl  0.329  0.171  0.500  0.00

(2)
This record from Alexandria describes a relaxed LaMn2Fe crystal. The functional is PBE.

Computed properties:
**Offset from the most stable computed form**: 275 meV per atom
**Theoretical density**: 7.37 Mg/m³
**Calculated formation energy**: 478 meV per atom

Lattice parameters (Å, degrees): 4.088 4.088 4.108 89.32 89.32 90.56
Each line ends with the local moment (μB).
Atoms (fractional coordinates):
Fe  0.500  0.000  0.500  2.35
La  0.000  0.500  0.500  -0.22
Mn  0.000  0.000  0.000  3.15
Mn  0.500  0.500  0.000  3.15

(3)
This record from Alexandria describes a relaxed Mg crystal. The functional is PBE.

Computed properties:
**Offset from the most stable computed form**: 0 meV per atom
**Theoretical density**: 1.75 Mg/m³
**Calculated formation energy**: 0 meV per atom

Lattice parameters (Å, degrees): 3.165 3.165 5.312 90.15 90.15 120.08
Atoms (fractional coordinates):
Mg  0.833  0.167  0.750
Mg  0.167  0.833  0.250